(1)
# GGA-PBE Li2PrCdPd4, relaxed
# Formation enthalpy at 0 K (kJ/mol of atoms): -48.8
# D(E_F) (states/eV/cell): 3.491
data_Li2PrCdPd4
_space_group_name_H-M_alt 'P 1'
_space_group_IT_number 1
_space_group_name_Hall 'P 1'
_cell_length_a 4.4527
_cell_length_b 4.4527
_cell_length_c 8.7752
_cell_angle_alpha 75.30
_cell_angle_beta 75.30
_cell_angle_gamma 60.00
loop_
_atom_site_label
_atom_site_type_symbol
_atom_site_fract_x
_atom_site_fract_y
_atom_site_fract_z
Li1 Li 0.7649 0.7649 0.7053
Li2 Li 0.2351 0.2351 0.2947
Pr1 Pr 0.0000 0.0000 0.0000
Cd1 Cd 0.5000 0.5000 0.5000
Pd1 Pd 0.3925 0.3925 0.8224
Pd2 Pd 0.8797 0.8797 0.3610
Pd3 Pd 0.1203 0.1203 0.6390
Pd4 Pd 0.6075 0.6075 0.1776

***

(2)
# GGA-PBE NbCr2HOs, relaxed
# D(E_F) (states/eV/cell): 5.531
# Energy above the most stable polymorph in this dataset (meV per atom): 0
data_NbCr2HOs
_space_group_name_H-M_alt 'P 1'
_space_group_IT_number 1
_space_group_name_Hall 'P 1'
_cell_length_a 3.7884
_cell_length_b 3.7884
_cell_length_c 4.1124
_cell_angle_alpha 90.00
_cell_angle_beta 90.00
_cell_angle_gamma 90.00
loop_
_atom_site_label
_atom_site_type_symbol
_atom_site_fract_x
_atom_site_fract_y
_atom_site_fract_z
Cr1 Cr 0.0000 0.5000 0.0000
Cr2 Cr 0.5000 0.0000 0.0000
Nb1 Nb 0.0000 0.0000 0.5000
Os1 Os 0.5000 0.5000 0.5000
H1 H 0.0000 0.0000 0.0000

***

(3)
# GGA-PBE Ag2Te2I, relaxed
# D(E_F) (states/eV/cell): 3.458
# Uncorrected formation energy (eV/atom): 0.05
# Energy above the most stable polymorph in this dataset (meV per atom): 132
data_Ag2Te2I
_space_group_name_H-M_alt 'P 1'
_space_group_IT_number 1
_space_group_name_Hall 'P 1'
_cell_length_a 5.4621
_cell_length_b 5.4621
_cell_length_c 6.2462
_cell_angle_alpha 64.07
_cell_angle_beta 64.07
_cell_angle_gamma 90.00
loop_
_atom_site_label
_atom_site_type_symbol
_atom_site_fract_x
_atom_site_fract_y
_atom_site_fract_z
I1 I 0.0000 0.0000 0.0000
Te1 Te 0.3536 0.3536 0.2929
Te2 Te 0.6464 0.6464 0.7071
Ag1 Ag 0.7500 0.2500 0.5000
Ag2 Ag 0.2500 0.7500 0.5000

***

(4)
# GGA-PBE ZrZn3Bi, relaxed
# Formation enthalpy at 0 K (kJ/mol of atoms): 76.2
# D(E_F) (states/eV/cell): 3.385
# Energy above the most stable polymorph in this dataset (meV per atom): 0
data_ZrZn3Bi
_space_group_name_H-M_alt 'P 1'
_space_group_IT_number 1
_space_group_name_Hall 'P 1'
_cell_length_a 5.1782
_cell_length_b 5.1782
_cell_length_c 5.1782
_cell_angle_alpha 90.00
_cell_angle_beta 90.00
_cell_angle_gamma 90.00
loop_
_atom_site_label
_atom_site_type_symbol
_atom_site_fract_x
_atom_site_fract_y
_atom_site_fract_z
Zn1 Zn 0.0000 0.5000 0.0000
Zn2 Zn 0.0000 0.0000 0.5000
Zn3 Zn 0.5000 0.0000 0.0000
Bi1 Bi 0.5000 0.5000 0.5000
Zr1 Zr 0.0000 0.0000 0.0000

***

(5)
# GGA-PBE Ga2AgBr6, relaxed
# D(E_F) (states/eV/cell): 4.929
# Uncorrected formation energy (eV/atom): -0.61
# Energy above the most stable polymorph in this dataset (meV per atom): 0
data_Ga2AgBr6
_space_group_name_H-M_alt 'P 1'
_space_group_IT_number 1
_space_group_name_Hall 'P 1'
_cell_length_a 8.0846
_cell_length_b 10.1498
_cell_length_c 10.1498
_cell_angle_alpha 85.35
_cell_angle_beta 69.33
_cell_angle_gamma 69.33
loop_
_atom_site_label
_atom_site_type_symbol
_atom_site_fract_x
_atom_site_fract_y
_atom_site_fract_z
Ga1 Ga 0.2314 0.6188 0.7969
Ga2 Ga 0.2686 0.2031 0.3812
Ga3 Ga 0.7686 0.3812 0.2031
Ga4 Ga 0.7314 0.7969 0.6188
Ag1 Ag 0.2500 0.1894 0.8106
Ag2 Ag 0.7500 0.8106 0.1894
Br1 Br 0.5300 0.6515 0.6293
Br2 Br 0.9700 0.3707 0.3485
Br3 Br 0.4700 0.3485 0.3707
Br4 Br 0.0300 0.6293 0.6515
Br5 Br 0.8190 0.9072 0.3955
Br6 Br 0.6810 0.6045 0.0928
Br7 Br 0.1810 0.0928 0.6045
Br8 Br 0.3190 0.3955 0.9072
Br9 Br 0.0840 0.8087 0.9708
Br10 Br 0.4160 0.0292 0.1913
Br11 Br 0.9160 0.1913 0.0292
Br12 Br 0.5840 0.9708 0.8087

***

(6)
# GGA-PBE Ce2Ho2Ga3, relaxed
# Formation enthalpy at 0 K (kJ/mol of atoms): -40.0
# D(E_F) (states/eV/cell): 9.578
data_Ce2Ho2Ga3
_space_group_name_H-M_alt 'P 1'
_space_group_IT_number 1
_space_group_name_Hall 'P 1'
_cell_length_a 4.0898
_cell_length_b 3.3106
_cell_length_c 12.0540
_cell_angle_alpha 90.00
_cell_angle_beta 80.23
_cell_angle_gamma 90.00
loop_
_atom_site_label
_atom_site_type_symbol
_atom_site_fract_x
_atom_site_fract_y
_atom_site_fract_z
Ce1 Ce 0.7107 0.5000 0.5786
Ce2 Ce 0.2893 0.5000 0.4214
Ho1 Ho 0.5703 0.5000 0.8593
Ho2 Ho 0.4297 0.5000 0.1407
Ga1 Ga 0.8628 0.0000 0.2743
Ga2 Ga 0.0000 0.0000 0.0000
Ga3 Ga 0.1372 0.0000 0.7257

***

(7)
# GGA-PBE CaVN3, relaxed
# D(E_F) (states/eV/cell): 7.098
# Uncorrected formation energy (eV/atom): 2.03
data_CaVN3
_space_group_name_H-M_alt 'P 1'
_space_group_IT_number 1
_space_group_name_Hall 'P 1'
_cell_length_a 4.3356
_cell_length_b 4.3356
_cell_length_c 4.3356
_cell_angle_alpha 90.00
_cell_angle_beta 90.00
_cell_angle_gamma 90.00
loop_
_atom_site_label
_atom_site_type_symbol
_atom_site_fract_x
_atom_site_fract_y
_atom_site_fract_z
Ca1 Ca 0.0000 0.0000 0.0000
V1 V 0.5000 0.5000 0.5000
N1 N 0.0000 0.5000 0.0000
N2 N 0.0000 0.0000 0.5000
N3 N 0.5000 0.0000 0.0000

***

(8)
# GGA-PBE Pu3Zn7Pd2, relaxed
# Formation enthalpy at 0 K (kJ/mol of atoms): -3.5
# D(E_F) (states/eV/cell): 33.551
data_Pu3Zn7Pd2
_space_group_name_H-M_alt 'P 1'
_space_group_IT_number 1
_space_group_name_Hall 'P 1'
_cell_length_a 6.1213
_cell_length_b 6.1213
_cell_length_c 8.3430
_cell_angle_alpha 68.48
_cell_angle_beta 68.48
_cell_angle_gamma 60.00
loop_
_atom_site_label
_atom_site_type_symbol
_atom_site_fract_x
_atom_site_fract_y
_atom_site_fract_z
Pu1 Pu 0.0000 0.0000 0.0000
Pu2 Pu 0.7410 0.7410 0.7771
Pu3 Pu 0.2590 0.2590 0.2229
Zn1 Zn 0.5000 0.5000 0.5000
Zn2 Zn 0.8470 0.2530 0.6470
Zn3 Zn 0.2530 0.8470 0.6470
Zn4 Zn 0.2530 0.2530 0.6470
Zn5 Zn 0.1530 0.7470 0.3530
Zn6 Zn 0.7470 0.7470 0.3530
Zn7 Zn 0.7470 0.1530 0.3530
Pd1 Pd 0.6196 0.6196 0.1412
Pd2 Pd 0.3804 0.3804 0.8588